(1)
# ZrTeMo2

An optimized crystal structure of ZrTeMo2 (PBE, the Alexandria database).

Formation energy without anion corrections: 0.32 eV per atom
Magnetic moment: 0.0001 μB/atom
Total energy: -8.018 eV/atom

The structure in CIF format:
```
data_ZrTeMo2
_symmetry_space_group_name_H-M 'P 1'
_symmetry_Int_Tables_number 1
_symmetry_space_group_name_Hall 'P 1'
_cell_length_a 4.718
_cell_length_b 4.718
_cell_length_c 4.718
_cell_angle_alpha 60.00
_cell_angle_beta 60.00
_cell_angle_gamma 60.00
loop_
_atom_site_label
_atom_site_type_symbol
_atom_site_fract_x
_atom_site_fract_y
_atom_site_fract_z
Mo1 Mo 0.000 0.000 0.000
Mo2 Mo 0.750 0.750 0.750
Te1 Te 0.500 0.500 0.500
Zr1 Zr 0.250 0.250 0.250
```


(2)
# FeSiSe2

An optimized crystal structure of FeSiSe2 (PBE, the Alexandria database).

Formation energy without anion corrections: 0.17 eV per atom
Magnetic moment: 0.2614 μB/atom
Total energy: -5.048 eV/atom

The structure in CIF format:
```
data_FeSiSe2
_symmetry_space_group_name_H-M 'P 1'
_symmetry_Int_Tables_number 1
_symmetry_space_group_name_Hall 'P 1'
_cell_length_a 2.860
_cell_length_b 2.860
_cell_length_c 8.708
_cell_angle_alpha 90.00
_cell_angle_beta 90.00
_cell_angle_gamma 90.00
loop_
_atom_site_label
_atom_site_type_symbol
_atom_site_fract_x
_atom_site_fract_y
_atom_site_fract_z
Fe1 Fe 0.500 0.500 0.739
Se1 Se 0.000 0.000 0.898
Se2 Se 0.500 0.500 0.292
Si1 Si 0.000 0.000 0.570
```


magnetic moment of number 1 (ZrTeMo2)?
0.0001 μB/atom